1:
An optimized crystal structure of Cr3Si, computed with PBE.

- ρ (g/cm3) = 6.45
- V (A^3/atom) = 11.85
- N(E_F) (states/eV/atom) = 0.578
- crystal system = tetragonal

a b c (Å): 3.981 3.981 2.991
angles (deg): 90.00 90.00 90.00
Space group P4/mmm (No. 123)
One atom of each set of equivalent atoms:
Cr 0.000 0.000 0.000 (multiplicity 1)
Cr 0.000 0.500 0.500 (multiplicity 2)
Si 0.500 0.500 0.000 (multiplicity 1)

2:
An optimized crystal structure of Cr3Si, computed with PBE.

- ρ (g/cm3) = 6.49
- V (A^3/atom) = 11.77
- N(E_F) (states/eV/atom) = 0.836
- crystal system = orthorhombic

a b c (Å): 2.956 4.114 7.740
angles (deg): 90.00 90.00 90.00
Space group Cmmm (No. 65)
One atom of each set of equivalent atoms:
Cr 0.000 0.000 0.000 (multiplicity 2)
Cr 0.000 0.500 0.252 (multiplicity 4)
Si 0.000 0.000 0.500 (multiplicity 2)

3:
An optimized crystal structure of Cr3Si, computed with PBE.

- ρ (g/cm3) = 6.59
- V (A^3/atom) = 11.60
- N(E_F) (states/eV/atom) = 0.665
- crystal system = monoclinic

a b c (Å): 2.513 3.977 4.762
angles (deg): 90.00 102.81 90.00
Space group P2/m (No. 10)
One atom of each set of equivalent atoms:
Cr 0.000 0.000 0.000 (multiplicity 1)
Cr 0.211 0.500 0.743 (multiplicity 2)
Si 0.500 0.000 0.500 (multiplicity 1)

4:
An optimized crystal structure of Cr3Si, computed with PBE.

- ρ (g/cm3) = 6.33
- V (A^3/atom) = 12.07
- N(E_F) (states/eV/atom) = 1.361
- crystal system = hexagonal

a b c (Å): 2.7143 2.7143 7.5687
angles (deg): 90.00 90.00 120.00
Space group P-6m2 (No. 187)
One atom of each set of equivalent atoms:
Cr 0.0000 0.0000 0.0000 (multiplicity 1)
Cr 0.3333 0.6667 0.2475 (multiplicity 2)
Si 0.0000 0.0000 0.5000 (multiplicity 1)

It is 1 that is most stable; the runner-up trails by 0.032 eV/atom.

1:
An optimized crystal structure of Cr2SiSn, computed with PBE.

- ρ (g/cm3) = 7.06
- V (A^3/atom) = 14.74
- N(E_F) (states/eV/atom) = 0.895
- crystal system = cubic

a b c (Å): 6.179 6.179 6.179
angles (deg): 90.00 90.00 90.00
Space group Fm-3m (No. 225)
One atom of each set of equivalent atoms:
Cr 0.250 0.250 0.250 (multiplicity 8)
Si 0.000 0.000 0.000 (multiplicity 4)
Sn 0.000 0.000 0.500 (multiplicity 4)

2:
An optimized crystal structure of Cr2SiSn, computed with PBE.

- ρ (g/cm3) = 5.33
- V (A^3/atom) = 19.52
- N(E_F) (states/eV/atom) = 0.495
- crystal system = tetragonal

a b c (Å): 4.224 4.224 17.501
angles (deg): 90.00 90.00 90.00
Space group I-42d (No. 122)
One atom of each set of equivalent atoms:
Cr 0.223 0.250 0.125 (multiplicity 8)
Si 0.000 0.000 0.000 (multiplicity 4)
Sn 0.000 0.000 0.500 (multiplicity 4)

It is 1 that is most stable; the runner-up trails by 0.306 eV/atom.

1:
An optimized crystal structure of SrCr3Si, computed with PBE.

- ρ (g/cm3) = 4.24
- V (A^3/atom) = 21.30
- N(E_F) (states/eV/atom) = 1.140
- crystal system = cubic

a b c (Å): 4.740 4.740 4.740
angles (deg): 90.00 90.00 90.00
Space group Pm-3m (No. 221)
One atom of each set of equivalent atoms:
Sr 0.000 0.000 0.000 (multiplicity 1)
Cr 0.000 0.500 0.500 (multiplicity 3)
Si 0.500 0.500 0.500 (multiplicity 1)

2:
An optimized crystal structure of SrCr3Si, computed with PBE.

- ρ (g/cm3) = 2.88
- V (A^3/atom) = 31.33
- N(E_F) (states/eV/atom) = 1.116
- crystal system = cubic

a b c (Å): 5.391 5.391 5.391
angles (deg): 90.00 90.00 90.00
Space group Pm-3m (No. 221)
One atom of each set of equivalent atoms:
Sr 0.000 0.000 0.000 (multiplicity 1)
Cr 0.000 0.000 0.500 (multiplicity 3)
Si 0.500 0.500 0.500 (multiplicity 1)

It is 1 that is most stable; the runner-up trails by 1.750 eV/atom.

1:
An optimized crystal structure of TaCr4Si, computed with PBE.

- ρ (g/cm3) = 8.83
- V (A^3/atom) = 13.07
- N(E_F) (states/eV/atom) = 0.841
- crystal system = trigonal

a b c (Å): 4.8688 4.8688 7.6368
angles (deg): 90.00 90.00 120.00
Space group P-3m1 (No. 164)
One atom of each set of equivalent atoms:
Ta 0.3333 0.6667 0.0652 (multiplicity 2)
Cr 0.0000 0.0000 0.0000 (multiplicity 1)
Cr 0.0000 0.0000 0.5000 (multiplicity 1)
Cr 0.1718 0.3436 0.7382 (multiplicity 6)
Si 0.3333 0.6667 0.4303 (multiplicity 2)

2:
An optimized crystal structure of TaCr4Si, computed with PBE.

- ρ (g/cm3) = 8.91
- V (A^3/atom) = 12.95
- N(E_F) (states/eV/atom) = 0.612
- crystal system = cubic

a b c (Å): 6.774 6.774 6.774
angles (deg): 90.00 90.00 90.00
Space group F-43m (No. 216)
One atom of each set of equivalent atoms:
Ta 0.000 0.000 0.000 (multiplicity 4)
Cr 0.124 0.124 0.376 (multiplicity 16)
Si 0.250 0.250 0.750 (multiplicity 4)

It is 2 that is most stable; the runner-up trails by 0.038 eV/atom.

1:
An optimized crystal structure of TaCrSi4, computed with PBE.

- ρ (g/cm3) = 7.12
- V (A^3/atom) = 13.42
- N(E_F) (states/eV/atom) = 0.323
- crystal system = monoclinic

a b c (Å): 8.503 3.176 6.424
angles (deg): 90.00 111.87 90.00
Space group C2/m (No. 12)
One atom of each set of equivalent atoms:
Ta 0.000 0.000 0.000 (multiplicity 2)
Cr 0.000 0.000 0.500 (multiplicity 2)
Si 0.164 0.500 0.345 (multiplicity 4)
Si 0.164 0.500 0.816 (multiplicity 4)

2:
An optimized crystal structure of TaCrSi4, computed with PBE.

- ρ (g/cm3) = 7.00
- V (A^3/atom) = 13.65
- N(E_F) (states/eV/atom) = 0.698
- crystal system = cubic

a b c (Å): 6.893 6.893 6.893
angles (deg): 90.00 90.00 90.00
Space group F-43m (No. 216)
One atom of each set of equivalent atoms:
Ta 0.000 0.000 0.000 (multiplicity 4)
Cr 0.250 0.250 0.750 (multiplicity 4)
Si 0.125 0.125 0.375 (multiplicity 16)

It is 1 that is most stable; the runner-up trails by 0.613 eV/atom.

1:
An optimized crystal structure of CrSiTc, computed with PBE.

- ρ (g/cm3) = 7.85
- V (A^3/atom) = 12.55
- N(E_F) (states/eV/atom) = 0.702
- crystal system = monoclinic

a b c (Å): 9.322 2.921 5.832
angles (deg): 90.00 108.43 90.00
Space group C2/m (No. 12)
One atom of each set of equivalent atoms:
Cr 0.171 0.000 0.083 (multiplicity 4)
Si 0.001 0.500 0.227 (multiplicity 4)
Tc 0.160 0.000 0.582 (multiplicity 4)

2:
An optimized crystal structure of CrSiTc, computed with PBE.

- ρ (g/cm3) = 6.95
- V (A^3/atom) = 14.19
- N(E_F) (states/eV/atom) = 0.810
- crystal system = trigonal

a b c (Å): 4.0364 4.0364 18.0980
angles (deg): 90.00 90.00 120.00
Space group R-3m (No. 166, hexagonal axes)
One atom of each set of equivalent atoms:
Cr 0.0000 0.0000 0.1362 (multiplicity 6)
Si 0.0000 0.0000 0.2903 (multiplicity 6)
Tc 0.0000 0.0000 0.4278 (multiplicity 6)

It is 1 that is most stable; the runner-up trails by 0.306 eV/atom.

1:
An optimized crystal structure of CrSiTc, computed with PBE.

- ρ (g/cm3) = 7.69
- V (A^3/atom) = 12.83
- N(E_F) (states/eV/atom) = 0.407
- crystal system = orthorhombic

a b c (Å): 3.019 3.929 6.489
angles (deg): 90.00 90.00 90.00
Space group Pmmn (No. 59, origin choice 2)
One atom of each set of equivalent atoms:
Cr 0.250 0.250 0.004 (multiplicity 2)
Si 0.250 0.750 0.284 (multiplicity 2)
Tc 0.250 0.750 0.662 (multiplicity 2)

2:
An optimized crystal structure of CrSiTc, computed with PBE.

- ρ (g/cm3) = 6.69
- V (A^3/atom) = 14.73
- N(E_F) (states/eV/atom) = 0.677
- crystal system = cubic

a b c (Å): 5.612 5.612 5.612
angles (deg): 90.00 90.00 90.00
Space group F-43m (No. 216)
One atom of each set of equivalent atoms:
Cr 0.000 0.000 0.000 (multiplicity 4)
Si 0.250 0.250 0.750 (multiplicity 4)
Tc 0.250 0.250 0.250 (multiplicity 4)

It is 1 that is most stable; the runner-up trails by 0.401 eV/atom.

1:
An optimized crystal structure of CrSiTc, computed with PBE.

- ρ (g/cm3) = 7.61
- V (A^3/atom) = 12.96
- N(E_F) (states/eV/atom) = 0.872
- crystal system = trigonal

a b c (Å): 4.2380 4.2380 4.9986
angles (deg): 90.00 90.00 120.00
Space group P-3m1 (No. 164)
One atom of each set of equivalent atoms:
Cr 0.0000 0.0000 0.0000 (multiplicity 1)
Cr 0.0000 0.0000 0.5000 (multiplicity 1)
Si 0.3333 0.6667 0.3082 (multiplicity 2)
Tc 0.3333 0.6667 0.8108 (multiplicity 2)

2:
An optimized crystal structure of CrSiTc, computed with PBE.

- ρ (g/cm3) = 7.65
- V (A^3/atom) = 12.89
- N(E_F) (states/eV/atom) = 1.322
- crystal system = trigonal

a b c (Å): 4.0452 4.0452 2.7294
angles (deg): 90.00 90.00 120.00
Space group P3m1 (No. 156)
One atom of each set of equivalent atoms:
Cr 0.0000 0.0000 0.0000 (multiplicity 1)
Si 0.6667 0.3333 0.2271 (multiplicity 1)
Tc 0.3333 0.6667 0.6463 (multiplicity 1)

3:
An optimized crystal structure of CrSiTc, computed with PBE.

- ρ (g/cm3) = 7.55
- V (A^3/atom) = 13.06
- N(E_F) (states/eV/atom) = 0.547
- crystal system = orthorhombic

a b c (Å): 3.906 13.477 2.977
angles (deg): 90.00 90.00 90.00
Space group Cmcm (No. 63)
One atom of each set of equivalent atoms:
Cr 0.000 0.250 0.250 (multiplicity 4)
Si 0.000 0.101 0.750 (multiplicity 4)
Tc 0.000 0.407 0.750 (multiplicity 4)

It is 1 that is most stable; the runner-up trails by 0.017 eV/atom.